Record 1
# BaMg2Co

A relaxed structure of BaMg2Co (PBE, Alexandria via LeMat-Bulk).

Cell lengths 6.713, 6.713, 6.713 Å; angles 40.05, 40.05, 40.05 degrees
Each line ends with the local moment (μB).
Positions (direct):
Ba (0.250, 0.250, 0.250)  -0.04
Co (0.750, 0.750, 0.750)  0.96
Mg (0.053, 0.053, 0.053)  -0.01
Mg (0.447, 0.447, 0.447)  -0.01

Volume ... 28.22 Å³/atom
Space group ... R-3m (166)
DOS(E_F) ... 1.673 states/eV per atom

Record 2
# BaMg3Co

A relaxed structure of BaMg3Co (PBE, Alexandria via LeMat-Bulk).

Cell lengths 5.075, 5.075, 5.075 Å; angles 90.00, 90.00, 90.00 degrees
Positions (direct):
Mg (0.000, 0.500, 0.000)
Mg (0.000, 0.000, 0.500)
Mg (0.500, 0.000, 0.000)
Co (0.000, 0.000, 0.000)
Ba (0.500, 0.500, 0.500)

Volume ... 26.14 Å³/atom
Space group ... Pm-3m (221)
Energy relative to the lowest polymorph listed for this composition ... 0.00 eV per formula unit
DOS(E_F) ... 0.851 states/eV per atom

Record 3
# Ba2MgCo

A relaxed structure of Ba2MgCo (PBE, Alexandria via LeMat-Bulk).

Cell lengths 6.955, 6.955, 5.789 Å; angles 65.41, 65.41, 31.96 degrees
Each line ends with the local moment (μB).
Positions (direct):
Ba (0.994, 0.994, 0.006)  -0.08
Ba (0.807, 0.807, 0.693)  -0.08
Co (0.523, 0.523, 0.477)  1.23
Mg (0.176, 0.176, 0.324)  -0.01

Volume ... 33.40 Å³/atom
Space group ... Imm2 (44)
DOS(E_F) ... 1.488 states/eV per atom

no.,ΔE_f (eV per formula unit)
1,1.0
2,0.3
3,1.3